Record 1
Below is crystalline Ba2BeHgN at its relaxed geometry, with properties calculated at the PBE-GGA level. Values from VASP.

Quantum ESPRESSO input file:
```
&SYSTEM
  ibrav = 0, nat = 5, ntyp = 4
/
ATOMIC_SPECIES
Ba 137.33 Ba.upf
Be 9.01 Be.upf
Hg 200.59 Hg.upf
N 14.01 N.upf
CELL_PARAMETERS angstrom
6.3192 0.0000 0.0000
0.0000 6.3192 0.0000
0.0000 0.0000 4.4380
ATOMIC_POSITIONS crystal
Ba 0.0000 0.5000 0.0000
Ba 0.5000 0.0000 0.0000
Be 0.0000 0.0000 0.5000
Hg 0.0000 0.0000 0.0000
N 0.5000 0.5000 0.5000
```

Formation energy without anion corrections ... 798 meV per atom
Space-group type ... P4/mmm, No. 123

=====

Record 2
Below is crystalline Ac2EuGe at its relaxed geometry, with properties calculated at the PBE-GGA level. Values from VASP.

Quantum ESPRESSO input file:
```
&SYSTEM
  ibrav = 0, nat = 4, ntyp = 3
/
ATOMIC_SPECIES
Ac 227.00 Ac.upf
Eu 151.96 Eu.upf
Ge 72.64 Ge.upf
CELL_PARAMETERS angstrom
4.0674 0.0000 0.0000
0.0000 4.0674 0.0000
0.0000 0.0000 8.9472
ATOMIC_POSITIONS crystal
Ac 0.0000 0.0000 0.1881
Ac 0.0000 0.0000 0.8119
Eu 0.5000 0.5000 0.5000
Ge 0.5000 0.5000 0.0000
```

Total energy ... -6.041 eV per atom
Space-group type ... P4/mmm, No. 123

=====

Record 3
Below is crystalline CeZnBiPd at its relaxed geometry, with properties calculated at the PBE-GGA level. Values from VASP.

Quantum ESPRESSO input file:
```
&SYSTEM
  ibrav = 0, nat = 4, ntyp = 4
/
ATOMIC_SPECIES
Ce 140.12 Ce.upf
Zn 65.41 Zn.upf
Bi 208.98 Bi.upf
Pd 106.42 Pd.upf
CELL_PARAMETERS angstrom
0.0000 3.5471 3.5471
3.5471 0.0000 3.5471
3.5471 3.5471 0.0000
ATOMIC_POSITIONS crystal
Ce 0.0000 0.0000 0.0000
Zn 0.2500 0.2500 0.2500
Bi 0.5000 0.5000 0.5000
Pd 0.7500 0.7500 0.7500
```

Total energy ... -4.545 eV per atom
Space-group type ... F-43m, No. 216

=====

Record 4
Below is crystalline Tb2MgGa4Pd3 at its relaxed geometry, with properties calculated at the PBE-GGA level. Values from VASP.

Quantum ESPRESSO input file:
```
&SYSTEM
  ibrav = 0, nat = 10, ntyp = 4
/
ATOMIC_SPECIES
Tb 158.93 Tb.upf
Mg 24.30 Mg.upf
Ga 69.72 Ga.upf
Pd 106.42 Pd.upf
CELL_PARAMETERS angstrom
4.0473 0.0000 0.0000
0.0000 4.0473 0.0000
0.0000 0.0000 11.7203
ATOMIC_POSITIONS crystal
Tb 0.0000 0.5000 0.2393
Tb 0.5000 0.0000 0.7607
Mg 0.0000 0.0000 0.5000
Ga 0.0000 0.0000 0.0000
Ga 0.0000 0.5000 0.6480
Ga 0.5000 0.0000 0.3520
Ga 0.5000 0.5000 0.0000
Pd 0.0000 0.5000 0.8612
Pd 0.5000 0.0000 0.1388
Pd 0.5000 0.5000 0.5000
```

Total energy ... -4.572 eV per atom
Space-group type ... P-4m2, No. 115

=====

Record 5
Below is crystalline PmDyYTm2 at its relaxed geometry, with properties calculated at the PBE-GGA level. Values from VASP.

Quantum ESPRESSO input file:
```
&SYSTEM
  ibrav = 0, nat = 10, ntyp = 4
/
ATOMIC_SPECIES
Pm 145.00 Pm.upf
Dy 162.50 Dy.upf
Y 88.91 Y.upf
Tm 168.93 Tm.upf
CELL_PARAMETERS angstrom
3.1818 -8.2796 0.0000
3.1818 8.2796 0.0000
0.0000 0.0000 6.3591
ATOMIC_POSITIONS crystal
Pm 0.1574 0.8426 0.7500
Pm 0.8426 0.1574 0.2500
Dy 0.3448 0.6552 0.7500
Dy 0.6552 0.3448 0.2500
Y 0.2462 0.7538 0.2500
Y 0.7538 0.2462 0.7500
Tm 0.2496 0.2496 0.0000
Tm 0.2496 0.2496 0.5000
Tm 0.7504 0.7504 0.0000
Tm 0.7504 0.7504 0.5000
```

Total energy ... -4.602 eV per atom
Space-group type ... Cmcm, No. 63

=====

Record 6
Below is crystalline Tl3I3F at its relaxed geometry, with properties calculated at the PBE-GGA level. Values from VASP.

Quantum ESPRESSO input file:
```
&SYSTEM
  ibrav = 0, nat = 14, ntyp = 3
/
ATOMIC_SPECIES
Tl 204.38 Tl.upf
I 126.90 I.upf
F 19.00 F.upf
CELL_PARAMETERS angstrom
4.7257 -7.0272 0.0000
4.7257 7.0272 0.0000
-0.6160 0.0000 8.5006
ATOMIC_POSITIONS crystal
Tl 0.1019 0.1019 0.3101
Tl 0.1117 0.4285 0.7550
Tl 0.4285 0.1117 0.7550
Tl 0.5715 0.8883 0.2450
Tl 0.8883 0.5715 0.2450
Tl 0.8981 0.8981 0.6899
I 0.1670 0.8330 0.0000
I 0.2335 0.7665 0.5000
I 0.3962 0.3962 0.1124
I 0.6038 0.6038 0.8876
I 0.7665 0.2335 0.5000
I 0.8330 0.1670 0.0000
F 0.1440 0.1440 0.6314
F 0.8560 0.8560 0.3686
```

Formation energy without anion corrections ... -831 meV per atom
Space-group type ... C2/m, No. 12